The following is a DFT calculation (PBE-GGA) of a geometry-optimized La12Cd3Hg structure.

The formation energy comes out at -0.15 eV/atom. The total magnetization is 0.000 μB/atom. For the volume, the calculation gives 32.45 A^3/atom. The calculation puts the total energy at -4.037 eV/atom.

The space group is P4/mmm (No. 123) and the conventional cell measures 5.0676, 5.0676 and 20.2154 Å, with angles of 90.00, 90.00 and 90.00 degrees. The inequivalent atoms are La at (0.0000, 0.0000, 0.0000), La at (0.0000, 0.0000, 0.2489), La at (0.0000, 0.0000, 0.5000), La at (0.0000, 0.5000, 0.1236), La at (0.0000, 0.5000, 0.3744), Cd at (0.5000, 0.5000, 0.2490), Cd at (0.5000, 0.5000, 0.5000) and Hg at (0.5000, 0.5000, 0.0000).